Record 1
The following is a PBE calculation of an optimized crystal structure of CdAgN2F, from Alexandria.

Geometry as POSCAR:
```
CdAgN2F
1.0
4.330 0.000 0.000
0.000 4.330 0.000
0.000 0.000 4.500
N F Ag Cd
2 1 1 1
direct
0.000 0.500 0.000
0.500 0.000 0.000
0.000 0.000 0.500
0.500 0.500 0.500
0.000 0.000 0.000
```

Output
calculated density = 5.3 Mg/m³
formation energy (no corrections) = 1.163 eV/atom

---

Record 2
The following is a PBE calculation of an optimized crystal structure of CdAgN2F, from Alexandria.

Geometry as POSCAR:
```
CdAgN2F
1.0
4.077 0.000 0.000
0.000 4.077 0.000
0.000 0.000 4.548
N F Ag Cd
2 1 1 1
direct
0.000 0.500 0.000
0.500 0.000 0.000
0.000 0.000 0.500
0.000 0.000 0.000
0.500 0.500 0.500
```

Output
calculated density = 5.9 Mg/m³
formation energy (no corrections) = 1.100 eV/atom

---

Record 3
The following is a PBE calculation of an optimized crystal structure of Na2CdAgF6, from Alexandria.

Geometry as POSCAR:
```
Na2CdAgF6
1.0
-0.419 -0.370 5.713
4.042 -4.286 0.019
6.347 5.992 1.315
Na Cd Ag F
4 2 2 12
direct
0.012 0.946 0.270
0.512 0.554 0.770
0.988 0.054 0.730
0.488 0.446 0.230
0.500 0.000 0.500
0.000 0.500 0.000
0.500 0.000 0.000
0.000 0.500 0.500
0.328 0.691 0.056
0.828 0.809 0.556
0.672 0.309 0.944
0.172 0.191 0.444
0.294 0.691 0.404
0.794 0.809 0.904
0.706 0.309 0.596
0.206 0.191 0.096
0.855 0.596 0.224
0.355 0.904 0.724
0.145 0.404 0.776
0.645 0.096 0.276
```

Output
calculated density = 4.2 Mg/m³
formation energy (no corrections) = -2.089 eV/atom

---

Record 4
The following is a PBE calculation of an optimized crystal structure of NaCdAgF2, from Alexandria.

Geometry as POSCAR:
```
NaCdAgF2
1.0
4.203 0.000 0.000
0.000 5.363 0.000
0.000 0.000 4.203
Na F Ag Cd
1 2 1 1
direct
0.000 0.000 0.000
0.000 0.000 0.500
0.500 0.000 0.000
0.500 0.500 0.500
0.000 0.500 0.000
```

Output
calculated density = 4.9 Mg/m³
formation energy (no corrections) = -0.993 eV/atom

---

Record 5
The following is a PBE calculation of an optimized crystal structure of NdCdAgF6, from Alexandria.

Geometry as POSCAR:
```
NdCdAgF6
1.0
-0.722 -3.092 4.381
3.805 -3.410 -1.780
7.735 5.821 5.383
Nd Cd Ag F
2 2 2 12
direct
0.500 0.500 0.168
0.000 0.000 0.668
0.500 0.500 0.834
0.000 0.000 0.334
0.500 0.500 0.500
0.000 0.000 0.000
0.182 0.818 0.500
0.818 0.182 0.500
0.318 0.318 0.000
0.682 0.682 0.000
0.201 0.799 0.182
0.799 0.201 0.182
0.299 0.299 0.682
0.701 0.701 0.682
0.793 0.207 0.817
0.207 0.793 0.817
0.707 0.707 0.317
0.293 0.293 0.317
```

Output
calculated density = 4.9 Mg/m³
formation energy (no corrections) = -2.712 eV/atom